Run 1
This record from Alexandria describes crystalline MnSNF2 at its relaxed geometry. The functional is PBE with a Hubbard U.

## Properties
The crystal system is tetragonal.

Cell and atoms, written as POSCAR:
```
MnSNF2
1.0
-1.549 -2.738 -3.439
4.292 -1.731 -0.555
-0.675 -2.380 2.199
S F N Mn
1 2 1 1
Direct
0.000 0.000 0.000
0.500 0.000 0.000
0.000 0.500 0.000
0.000 0.000 0.500
0.500 0.500 0.500
```

---

Run 2
This record from Alexandria describes crystalline MnSNF2 at its relaxed geometry. The functional is PBE with a Hubbard U.

## Properties
The crystal system is tetragonal.

Cell and atoms, written as POSCAR:
```
MnSNF2
1.0
-0.266 -2.913 2.501
3.372 -1.376 -1.244
2.088 2.395 3.011
Mn S N F
1 1 1 2
Direct
0.000 0.000 0.000
0.500 0.500 0.500
0.000 0.000 0.500
0.500 0.000 0.000
0.000 0.500 0.000
```

---

Most stable structure - run 2; separation to the second - 106 meV/atom.

---

Run 1
This record from Alexandria describes crystalline MnSbNF2 at its relaxed geometry. The functional is PBE with a Hubbard U.

## Properties
The crystal system is tetragonal.

Cell and atoms, written as POSCAR:
```
MnSbNF2
1.0
4.455 0.000 0.000
0.000 4.455 0.000
0.000 0.000 4.267
F Mn N Sb
2 1 1 1
Direct
0.500 0.000 0.000
0.000 0.500 0.000
0.500 0.500 0.500
0.000 0.000 0.500
0.000 0.000 0.000
```

---

Run 2
This record from Alexandria describes crystalline MnSbNF2 at its relaxed geometry. The functional is PBE with a Hubbard U.

## Properties
The crystal system is tetragonal.

Cell and atoms, written as POSCAR:
```
MnSbNF2
1.0
-0.263 0.377 3.987
-1.527 -3.704 0.249
3.953 -1.601 0.412
Mn N F Sb
1 1 2 1
Direct
0.000 0.000 0.000
0.000 0.000 0.500
0.000 0.500 0.000
0.500 0.000 0.000
0.500 0.500 0.500
```

---

Most stable structure - run 2; separation to the second - 300 meV/atom.

---

Run 1
This record from Alexandria describes crystalline ScMnN2F at its relaxed geometry. The functional is PBE with a Hubbard U.

## Properties
The crystal system is tetragonal.

Cell and atoms, written as POSCAR:
```
ScMnN2F
1.0
-2.991 1.384 2.030
-1.765 -3.435 -0.259
1.675 -1.104 3.221
N Sc F Mn
2 1 1 1
Direct
0.000 0.500 0.000
0.500 0.000 0.000
0.500 0.500 0.500
0.000 0.000 0.500
0.000 0.000 0.000
```

---

Run 2
This record from Alexandria describes crystalline ScMnN2F at its relaxed geometry. The functional is PBE with a Hubbard U.

## Properties
The crystal system is tetragonal.

Cell and atoms, written as POSCAR:
```
ScMnN2F
1.0
4.163 0.000 0.000
0.000 4.163 0.000
0.000 0.000 3.996
Mn Sc N F
1 1 2 1
Direct
0.500 0.500 0.500
0.000 0.000 0.000
0.500 0.000 0.000
0.000 0.500 0.000
0.000 0.000 0.500
```

---

Most stable structure - run 1; separation to the second - 135 meV/atom.

---

Run 1
This record from Alexandria describes crystalline MnSe2NF at its relaxed geometry. The functional is PBE with a Hubbard U.

## Properties
The crystal system is tetragonal.

Cell and atoms, written as POSCAR:
```
MnSe2NF
1.0
4.633 0.000 0.000
0.000 4.633 0.000
0.000 0.000 4.100
Se Mn F N
2 1 1 1
Direct
0.500 0.000 0.000
0.000 0.500 0.000
0.500 0.500 0.500
0.000 0.000 0.000
0.000 0.000 0.500
```

---

Run 2
This record from Alexandria describes crystalline MnSe2NF at its relaxed geometry. The functional is PBE with a Hubbard U.

## Properties
The crystal system is tetragonal.

Cell and atoms, written as POSCAR:
```
MnSe2NF
1.0
5.107 0.000 0.000
0.000 5.107 0.000
0.000 0.000 3.531
F Se Mn N
1 2 1 1
Direct
0.500 0.500 0.500
0.500 0.000 0.000
0.000 0.500 0.000
0.000 0.000 0.000
0.000 0.000 0.500
```

---

Most stable structure - run 2; separation to the second - 468 meV/atom.

---

Run 1
This record from Alexandria describes crystalline MnSiNF2 at its relaxed geometry. The functional is PBE with a Hubbard U.

## Properties
The crystal system is tetragonal.

Cell and atoms, written as POSCAR:
```
MnSiNF2
1.0
4.280 0.000 0.000
0.000 4.280 0.000
0.000 0.000 3.265
F Mn N Si
2 1 1 1
Direct
0.500 0.000 0.000
0.000 0.500 0.000
0.500 0.500 0.500
0.000 0.000 0.500
0.000 0.000 0.000
```

---

Run 2
This record from Alexandria describes crystalline MnSiNF2 at its relaxed geometry. The functional is PBE with a Hubbard U.

## Properties
The crystal system is tetragonal.

Cell and atoms, written as POSCAR:
```
MnSiNF2
1.0
3.971 0.000 0.000
0.000 3.971 0.000
0.000 0.000 4.087
F Mn Si N
2 1 1 1
Direct
0.500 0.000 0.000
0.000 0.500 0.000
0.000 0.000 0.000
0.500 0.500 0.500
0.000 0.000 0.500
```

---

Most stable structure - run 1; separation to the second - 424 meV/atom.

---

Run 1
This record from Alexandria describes crystalline SrMnNF2 at its relaxed geometry. The functional is PBE with a Hubbard U.

## Properties
The crystal system is tetragonal.

Cell and atoms, written as POSCAR:
```
SrMnNF2
1.0
-2.831 -0.663 3.397
2.664 -3.220 1.591
2.552 3.500 2.810
F Mn N Sr
2 1 1 1
Direct
0.500 0.000 0.000
0.000 0.500 0.000
0.500 0.500 0.500
0.000 0.000 0.500
0.000 0.000 0.000
```

---

Run 2
This record from Alexandria describes crystalline SrMnNF2 at its relaxed geometry. The functional is PBE with a Hubbard U.

## Properties
The crystal system is tetragonal.

Cell and atoms, written as POSCAR:
```
SrMnNF2
1.0
4.177 0.000 0.000
0.000 4.177 0.000
0.000 0.000 3.995
F Sr Mn N
2 1 1 1
Direct
0.500 0.000 0.000
0.000 0.500 0.000
0.500 0.500 0.500
0.000 0.000 0.000
0.000 0.000 0.500
```

---

Most stable structure - run 2; separation to the second - 856 meV/atom.

---

Run 1
This record from Alexandria describes crystalline SrMnN2F at its relaxed geometry. The functional is PBE with a Hubbard U.

## Properties
The crystal system is tetragonal.

Cell and atoms, written as POSCAR:
```
SrMnN2F
1.0
3.841 0.000 0.000
0.000 3.841 0.000
0.000 0.000 4.539
N F Sr Mn
2 1 1 1
Direct
0.500 0.000 0.000
0.000 0.500 0.000
0.000 0.000 0.500
0.500 0.500 0.500
0.000 0.000 0.000
```

---

Run 2
This record from Alexandria describes crystalline SrMnN2F at its relaxed geometry. The functional is PBE with a Hubbard U.

## Properties
The crystal system is tetragonal.

Cell and atoms, written as POSCAR:
```
SrMnN2F
1.0
4.739 0.000 0.000
0.000 4.739 0.000
0.000 0.000 4.463
N Mn F Sr
2 1 1 1
Direct
0.000 0.500 0.000
0.500 0.000 0.000
0.500 0.500 0.500
0.000 0.000 0.500
0.000 0.000 0.000
```

---

Most stable structure - run 1; separation to the second - 1993 meV/atom.

---

Run 1
This record from Alexandria describes crystalline TaMnNF2 at its relaxed geometry. The functional is PBE with a Hubbard U.

## Properties
The crystal system is tetragonal.

Cell and atoms, written as POSCAR:
```
TaMnNF2
1.0
3.625 0.000 0.000
0.000 3.625 0.000
0.000 0.000 5.638
N Ta F Mn
1 1 2 1
Direct
0.000 0.000 0.500
0.500 0.500 0.500
0.000 0.500 0.000
0.500 0.000 0.000
0.000 0.000 0.000
```

---

Run 2
This record from Alexandria describes crystalline TaMnNF2 at its relaxed geometry. The functional is PBE with a Hubbard U.

## Properties
The crystal system is tetragonal.

Cell and atoms, written as POSCAR:
```
TaMnNF2
1.0
4.227 0.000 0.000
0.000 4.227 0.000
0.000 0.000 4.043
F Mn Ta N
2 1 1 1
Direct
0.000 0.500 0.000
0.500 0.000 0.000
0.500 0.500 0.500
0.000 0.000 0.000
0.000 0.000 0.500
```

---

Most stable structure - run 2; separation to the second - 634 meV/atom.

---

Run 1
This record from Alexandria describes crystalline MnTcN2F at its relaxed geometry. The functional is PBE with a Hubbard U.

## Properties
The crystal system is tetragonal.

Cell and atoms, written as POSCAR:
```
MnTcN2F
1.0
-0.993 -0.576 3.764
3.808 -0.223 0.970
0.068 3.711 0.586
N Tc F Mn
2 1 1 1
Direct
0.000 0.500 0.000
0.500 0.000 0.000
0.500 0.500 0.500
0.000 0.000 0.500
0.000 0.000 0.000
```

---

Run 2
This record from Alexandria describes crystalline MnTcN2F at its relaxed geometry. The functional is PBE with a Hubbard U.

## Properties
The crystal system is tetragonal.

Cell and atoms, written as POSCAR:
```
MnTcN2F
1.0
-3.357 1.955 0.129
-1.392 -2.201 -2.886
-1.463 -2.694 2.761
F Tc Mn N
1 1 1 2
Direct
0.000 0.000 0.500
0.000 0.000 0.000
0.500 0.500 0.500
0.000 0.500 0.000
0.500 0.000 0.000
```

---

Most stable structure - run 2; separation to the second - 686 meV/atom.

---

Run 1
This record from Alexandria describes crystalline MnTeN2F at its relaxed geometry. The functional is PBE with a Hubbard U.

## Properties
The crystal system is tetragonal.

Cell and atoms, written as POSCAR:
```
MnTeN2F
1.0
-0.105 -3.430 2.337
3.452 1.225 1.954
-2.337 2.021 2.862
Te N Mn F
1 2 1 1
Direct
0.000 0.000 0.000
0.000 0.500 0.000
0.500 0.000 0.000
0.500 0.500 0.500
0.000 0.000 0.500
```

---

Run 2
This record from Alexandria describes crystalline MnTeN2F at its relaxed geometry. The functional is PBE with a Hubbard U.

## Properties
The crystal system is tetragonal.

Cell and atoms, written as POSCAR:
```
MnTeN2F
1.0
4.466 0.000 0.000
0.000 4.466 0.000
0.000 0.000 4.109
Te F Mn N
1 1 1 2
Direct
0.000 0.000 0.500
0.000 0.000 0.000
0.500 0.500 0.500
0.000 0.500 0.000
0.500 0.000 0.000
```

---

Most stable structure - run 1; separation to the second - 1152 meV/atom.

---

Run 1
This record from Alexandria describes crystalline MnTeN2F at its relaxed geometry. The functional is PBE with a Hubbard U.

## Properties
The crystal system is tetragonal.

Cell and atoms, written as POSCAR:
```
MnTeN2F
1.0
-1.443 0.885 3.693
3.479 -1.275 1.665
1.420 3.501 -0.284
F N Mn Te
1 2 1 1
Direct
0.000 0.000 0.500
0.500 0.000 0.000
0.000 0.500 0.000
0.000 0.000 0.000
0.500 0.500 0.500
```

---

Run 2
This record from Alexandria describes crystalline MnTeN2F at its relaxed geometry. The functional is PBE with a Hubbard U.

## Properties
The crystal system is tetragonal.

Cell and atoms, written as POSCAR:
```
MnTeN2F
1.0
-0.318 2.082 3.048
-3.390 1.046 -1.068
-2.337 -4.609 2.904
Te N F Mn
1 2 1 1
Direct
0.000 0.000 0.500
0.500 0.000 0.000
0.000 0.500 0.000
0.500 0.500 0.500
0.000 0.000 0.000
```

---

Most stable structure - run 1; separation to the second - 352 meV/atom.

---

Run 1
This record from Alexandria describes crystalline TiMnNF2 at its relaxed geometry. The functional is PBE with a Hubbard U.

## Properties
The crystal system is tetragonal.

Cell and atoms, written as POSCAR:
```
TiMnNF2
1.0
-1.865 -3.453 -0.668
2.458 -0.740 -3.043
2.559 -1.870 2.522
F N Ti Mn
2 1 1 1
Direct
0.500 0.000 0.000
0.000 0.500 0.000
0.000 0.000 0.500
0.000 0.000 0.000
0.500 0.500 0.500
```

---

Run 2
This record from Alexandria describes crystalline TiMnNF2 at its relaxed geometry. The functional is PBE with a Hubbard U.

## Properties
The crystal system is tetragonal.

Cell and atoms, written as POSCAR:
```
TiMnNF2
1.0
3.883 0.000 0.000
0.000 3.883 0.000
0.000 0.000 4.237
F Ti N Mn
2 1 1 1
Direct
0.500 0.000 0.000
0.000 0.500 0.000
0.500 0.500 0.500
0.000 0.000 0.500
0.000 0.000 0.000
```

---

Most stable structure - run 1; separation to the second - 588 meV/atom.

---

Run 1
This record from Alexandria describes crystalline TiMnN2F at its relaxed geometry. The functional is PBE with a Hubbard U.

## Properties
The crystal system is tetragonal.

Cell and atoms, written as POSCAR:
```
TiMnN2F
1.0
3.868 0.000 0.000
0.000 3.868 0.000
0.000 0.000 3.683
F Mn Ti N
1 1 1 2
Direct
0.000 0.000 0.500
0.000 0.000 0.000
0.500 0.500 0.500
0.000 0.500 0.000
0.500 0.000 0.000
```

---

Run 2
This record from Alexandria describes crystalline TiMnN2F at its relaxed geometry. The functional is PBE with a Hubbard U.

## Properties
The crystal system is tetragonal.

Cell and atoms, written as POSCAR:
```
TiMnN2F
1.0
-0.086 -2.963 2.609
-0.216 -2.602 -2.963
3.886 -0.204 -0.104
F Ti N Mn
1 1 2 1
Direct
0.000 0.000 0.500
0.000 0.000 0.000
0.000 0.500 0.000
0.500 0.000 0.000
0.500 0.500 0.500
```

---

Most stable structure - run 2; separation to the second - 622 meV/atom.

---

Run 1
This record from Alexandria describes crystalline MnTlN2F at its relaxed geometry. The functional is PBE with a Hubbard U.

## Properties
The crystal system is tetragonal.

Cell and atoms, written as POSCAR:
```
MnTlN2F
1.0
-0.400 -4.200 -0.845
3.362 0.219 -2.677
2.760 -0.944 3.389
N Mn F Tl
2 1 1 1
Direct
0.000 0.500 0.000
0.500 0.000 0.000
0.500 0.500 0.500
0.000 0.000 0.500
0.000 0.000 0.000
```

---

Run 2
This record from Alexandria describes crystalline MnTlN2F at its relaxed geometry. The functional is PBE with a Hubbard U.

## Properties
The crystal system is tetragonal.

Cell and atoms, written as POSCAR:
```
MnTlN2F
1.0
-2.026 -2.782 1.507
0.062 -1.824 -3.284
3.628 -2.002 1.181
F Mn Tl N
1 1 1 2
Direct
0.000 0.000 0.500
0.000 0.000 0.000
0.500 0.500 0.500
0.500 0.000 0.000
0.000 0.500 0.000
```

---

Most stable structure - run 2; separation to the second - 403 meV/atom.